Compound: FeOsNO2
Source: Alexandria
Functional: GGA+U
Structure: optimized geometry

Structure (CIF):
```
data_FeOsNO2
_chemical_formula_sum 'Fe1 Os1 N1 O2'
_space_group_name_H-M_alt 'P 1'
_space_group_IT_number 1
_space_group_name_Hall 'P 1'
_cell_length_a 3.695
_cell_length_b 3.695
_cell_length_c 3.610
_cell_angle_alpha 90.00
_cell_angle_beta 90.00
_cell_angle_gamma 90.00
loop_
_atom_site_label
_atom_site_type_symbol
_atom_site_fract_x
_atom_site_fract_y
_atom_site_fract_z
_atom_site_occupancy
Fe1 Fe 0.000 0.000 0.000 1
O1 O 0.500 0.000 0.000 1
O2 O 0.000 0.500 0.000 1
N1 N 0.000 0.000 0.500 1
Os1 Os 0.500 0.500 0.500 1
```

## Properties
volume = 49.3 Å³/f.u.
density of states at the Fermi level = 5.664 states/eV per cell
energy = -5.8056 eV/atom